1.
## Sr2H4IrAu2 (PBE)

Data for crystalline Sr2H4IrAu2 at its relaxed geometry.

## Properties
- Total energy: -0.1489 Ha/atom
- Symmetry: I4/mmm, No. 139
- Total moment: 0.00 μB/f.u.

a b c (Å): 5.854 5.854 5.854
angles (deg): 93.34 118.09 118.09
Element x y z (fractional)
Sr 0.500 0.750 0.250
Sr 0.500 0.250 0.750
H 0.400 0.200 0.200
H 0.000 0.800 0.200
H 0.600 0.800 0.800
H 0.000 0.200 0.800
Au 0.000 0.664 0.664
Au 0.000 0.336 0.336
Ir 0.000 0.000 0.000

=====

2.
## Ta2HIrAu (PBE)

Data for crystalline Ta2HIrAu at its relaxed geometry.

## Properties
- Energy relative to the lowest polymorph listed for this composition: 1.05 kcal/mol of atoms
- Total energy: -0.2924 Ha/atom
- Symmetry: P4/mmm, No. 123
- Total moment: 0.00 μB/f.u.

a b c (Å): 4.048 4.048 4.229
angles (deg): 90.00 90.00 90.00
Element x y z (fractional)
Au 0.000 0.000 0.500
Ta 0.000 0.500 0.000
Ta 0.500 0.000 0.000
Ir 0.500 0.500 0.500
H 0.000 0.000 0.000

=====

Look up the total moment of the first one. 0.00 μB/f.u.

=====

Look up the total moment of the first one. 0.00 μB/f.u.

=====

Please write out number 2 again, unchanged.
## Ta2HIrAu (PBE)

Data for crystalline Ta2HIrAu at its relaxed geometry.

## Properties
- Energy relative to the lowest polymorph listed for this composition: 1.05 kcal/mol of atoms
- Total energy: -0.2924 Ha/atom
- Symmetry: P4/mmm, No. 123
- Total moment: 0.00 μB/f.u.

a b c (Å): 4.048 4.048 4.229
angles (deg): 90.00 90.00 90.00
Element x y z (fractional)
Au 0.000 0.000 0.500
Ta 0.000 0.500 0.000
Ta 0.500 0.000 0.000
Ir 0.500 0.500 0.500
H 0.000 0.000 0.000